Record 1
Entry from Alexandria: a geometry-optimized MnBeTe2 structure (PBE).

Unit cell a=3.7809 b=7.9653 c=3.7095 alpha=90.00 beta=90.00 gamma=90.00
Last column: nearest neighbours and their distance in Å.
Sites, in units of the cell vectors:
Te 0.5000 0.5000 0.0000  4 Mn 2.65
Te 0.0000 0.0000 0.0000  4 Be 2.65
Be 0.5000 0.0000 0.5000  4 Te 2.65
Mn 0.0000 0.5000 0.5000  4 Te 2.65

* theoretical density: 4.74 g/cm³
* spin magnetization: 1.132 μB per atom
* energy relative to the elements, uncorrected: 0.36 eV/atom
* DOS at the Fermi energy: 1.10 states/eV per cell

---

Record 2
Entry from Alexandria: a geometry-optimized BaPa2Te8 structure (PBE).

Unit cell a=5.8856 b=8.2918 c=8.2918 alpha=110.93 beta=94.39 gamma=94.39
Last column: nearest neighbours and their distance in Å.
Sites, in units of the cell vectors:
Te 0.5000 0.7408 0.2592  2 Pa 3.01
Te 0.0664 0.0806 0.3261  2 Pa 3.03-3.13, 1 Te 3.35
Te 0.9336 0.9194 0.6739  2 Pa 3.03-3.13, 1 Te 3.35
Te 0.5000 0.2592 0.7408  2 Pa 3.01
Te 0.0664 0.3261 0.0806  2 Pa 3.03-3.13, 1 Te 3.35
Te 0.9336 0.6739 0.9194  2 Pa 3.03-3.13, 1 Te 3.35
Te 0.6869 0.4144 0.4144  1 Te 2.90
Te 0.3131 0.5856 0.5856  1 Te 2.90
Pa 0.0000 0.3046 0.6954  8 Te 3.01-3.28
Pa 0.0000 0.6954 0.3046  8 Te 3.01-3.28
Ba 0.5000 0.0000 0.0000  8 Te 3.54-3.90

* theoretical density: 7.18 g/cm³
* spin magnetization: 0.000 μB per atom
* energy relative to the elements, uncorrected: -0.78 eV/atom
* DOS at the Fermi energy: 8.57 states/eV per cell

---

Record 3
Entry from Alexandria: a geometry-optimized LiRe2Br structure (PBE).

Unit cell a=2.7755 b=2.7755 c=10.3966 alpha=90.00 beta=90.00 gamma=115.21
Last column: nearest neighbours and their distance in Å.
Sites, in units of the cell vectors:
Li 0.5000 0.5000 0.7578  2 Br 2.49, 4 Li 2.78
Br 0.0000 0.0000 0.5652  2 Li 2.49, 4 Br 2.78
Re 0.0000 0.0000 0.9865  6 Re 2.59-2.78, 2 Li 2.80
Re 0.5000 0.5000 0.1905  6 Re 2.59-2.78

* theoretical density: 10.52 g/cm³
* spin magnetization: 0.000 μB per atom
* energy relative to the elements, uncorrected: 0.45 eV/atom
* DOS at the Fermi energy: 3.71 states/eV per cell

---

Record 4
Entry from Alexandria: a geometry-optimized CsAsC structure (PBE).

Unit cell a=5.0292 b=7.1107 c=11.4842 alpha=90.47 beta=115.87 gamma=44.99
Last column: nearest neighbours and their distance in Å.
Sites, in units of the cell vectors:
As 0.7430 0.1233 0.1151  1 C 1.72
As 0.2570 0.8767 0.8849  1 C 1.72
C 0.8841 0.0610 0.6959  1 As 1.72
C 0.1159 0.9390 0.3041  1 As 1.72
Cs 0.1549 0.4202 0.3247  5 C 3.38-3.57
Cs 0.8451 0.5798 0.6753  5 C 3.38-3.57

* theoretical density: 3.17 g/cm³
* raw total energy: -4.263 eV/atom
* spin magnetization: 0.000 μB per atom
* DOS at the Fermi energy: 0.00 states/eV per cell

---

Copy entry 2 word for word.
Entry from Alexandria: a geometry-optimized BaPa2Te8 structure (PBE).

Unit cell a=5.8856 b=8.2918 c=8.2918 alpha=110.93 beta=94.39 gamma=94.39
Last column: nearest neighbours and their distance in Å.
Sites, in units of the cell vectors:
Te 0.5000 0.7408 0.2592  2 Pa 3.01
Te 0.0664 0.0806 0.3261  2 Pa 3.03-3.13, 1 Te 3.35
Te 0.9336 0.9194 0.6739  2 Pa 3.03-3.13, 1 Te 3.35
Te 0.5000 0.2592 0.7408  2 Pa 3.01
Te 0.0664 0.3261 0.0806  2 Pa 3.03-3.13, 1 Te 3.35
Te 0.9336 0.6739 0.9194  2 Pa 3.03-3.13, 1 Te 3.35
Te 0.6869 0.4144 0.4144  1 Te 2.90
Te 0.3131 0.5856 0.5856  1 Te 2.90
Pa 0.0000 0.3046 0.6954  8 Te 3.01-3.28
Pa 0.0000 0.6954 0.3046  8 Te 3.01-3.28
Ba 0.5000 0.0000 0.0000  8 Te 3.54-3.90

* theoretical density: 7.18 g/cm³
* spin magnetization: 0.000 μB per atom
* energy relative to the elements, uncorrected: -0.78 eV/atom
* DOS at the Fermi energy: 8.57 states/eV per cell

---

> Which formula does entry 3 have?

LiRe2Br

---

> Which value of DOS at the Fermi energy does entry 3 give?

3.71 states/eV per cell